PuCoC: optimized geometry, PBE.

Cell lengths 5.336, 5.336, 5.833 Å; angles 90.00, 90.00, 90.00 degrees
Sites, in units of the cell vectors:
Pu: 0.249 0.249 0.000
Pu: 0.251 0.749 0.250
Pu: 0.749 0.251 0.750
Pu: 0.751 0.751 0.500
Co: 0.165 0.165 0.500
Co: 0.335 0.665 0.750
Co: 0.665 0.335 0.250
Co: 0.835 0.835 0.000
C: 0.087 0.913 0.750
C: 0.413 0.413 0.500
C: 0.587 0.587 0.000
C: 0.913 0.087 0.250

As for the excess energy over the best structure of this formula in the dataset: 171 meV/atom. As for the space group: P4_12_12, No. 92. The crystal system is tetragonal.



Sm3TmRu: optimized geometry, PBE.

Cell lengths 5.464, 5.464, 5.464 Å; angles 90.00, 90.00, 90.00 degrees
Sites, in units of the cell vectors:
Sm: 0.000 0.000 0.500
Sm: 0.000 0.500 0.000
Sm: 0.500 0.000 0.000
Tm: 0.500 0.500 0.500
Ru: 0.000 0.000 0.000

As for the excess energy over the best structure of this formula in the dataset: 173 meV/atom. As for the space group: Pm-3m, No. 221. The crystal system is cubic.



PmPrNd2H: optimized geometry, PBE.

Cell lengths 5.186, 5.186, 5.175 Å; angles 90.00, 90.00, 90.00 degrees
Sites, in units of the cell vectors:
Pm: 0.000 0.000 0.000
Pr: 0.500 0.500 0.000
Nd: 0.000 0.500 0.500
Nd: 0.500 0.000 0.500
H: 0.000 0.000 0.500

As for the space group: P4/mmm, No. 123. The crystal system is tetragonal.



Ge2RuICl: optimized geometry, PBE.

Cell lengths 5.707, 5.707, 4.843 Å; angles 90.00, 90.00, 90.00 degrees
Sites, in units of the cell vectors:
Ge: 0.000 0.500 0.000
Ge: 0.500 0.000 0.000
Ru: 0.000 0.000 0.500
I: 0.000 0.000 0.000
Cl: 0.500 0.500 0.500

As for the space group: P4/mmm, No. 123. The crystal system is tetragonal.



Sr2TeAu2: optimized geometry, PBE.

Cell lengths 8.329, 8.329, 4.200 Å; angles 90.00, 90.00, 90.00 degrees
Sites, in units of the cell vectors:
Sr: 0.180 0.320 0.000
Sr: 0.320 0.820 0.000
Sr: 0.680 0.180 0.000
Sr: 0.820 0.680 0.000
Te: 0.000 0.000 0.500
Te: 0.500 0.500 0.500
Au: 0.118 0.618 0.500
Au: 0.382 0.118 0.500
Au: 0.618 0.882 0.500
Au: 0.882 0.382 0.500

As for the excess energy over the best structure of this formula in the dataset: 0 meV/atom. As for the space group: P4/mbm, No. 127. The crystal system is tetragonal.



Nd3TmTh2: optimized geometry, PBE.

Cell lengths 6.972, 16.888, 3.448 Å; angles 90.00, 90.00, 90.00 degrees
Sites, in units of the cell vectors:
Nd: 0.000 0.000 0.000
Nd: 0.245 0.170 0.500
Nd: 0.255 0.670 0.000
Nd: 0.500 0.500 0.500
Nd: 0.745 0.330 0.000
Nd: 0.755 0.830 0.500
Tm: 0.000 0.500 0.500
Tm: 0.500 0.000 0.000
Th: 0.244 0.347 0.000
Th: 0.256 0.847 0.500
Th: 0.744 0.153 0.500
Th: 0.756 0.653 0.000

As for the excess energy over the best structure of this formula in the dataset: 155 meV/atom. As for the space group: Pnnm, No. 58. The crystal system is orthorhombic.



RbLaMg3: optimized geometry, PBE.

Cell lengths 6.368, 6.368, 6.368 Å; angles 90.00, 90.00, 90.00 degrees
Sites, in units of the cell vectors:
Rb: 0.000 0.000 0.000
La: 0.500 0.500 0.500
Mg: 0.000 0.500 0.500
Mg: 0.500 0.000 0.500
Mg: 0.500 0.500 0.000

As for the excess energy over the best structure of this formula in the dataset: 0 meV/atom. As for the space group: Pm-3m, No. 221. The crystal system is cubic.



BaMg2CdAg: optimized geometry, PBE.

Cell lengths 5.265, 5.265, 5.408 Å; angles 90.00, 90.00, 90.00 degrees
Sites, in units of the cell vectors:
Ba: 0.000 0.000 0.000
Mg: 0.000 0.500 0.500
Mg: 0.500 0.000 0.500
Cd: 0.500 0.500 0.000
Ag: 0.500 0.500 0.500

As for the space group: P4/mmm, No. 123. The crystal system is tetragonal.



Calculated raw total energy (eV per formula unit), listed in the same order as above: -30.15 -27.74 -23.30 -15.51 -17.63 -32.43 -7.26 -9.34